Ag2HgF6 after structural relaxation, computed with PBE-GGA.

```
Ag2HgF6
1.0
5.9437 0.0000 0.0000
0.0000 5.1581 0.0000
-5.2887 0.0000 10.1379
Ag Hg F
4 2 12
direct
0.1809 0.0324 0.1845 Ag
0.1809 0.4676 0.6845 Ag
0.8191 0.5324 0.3155 Ag
0.8191 0.9676 0.8155 Ag
0.5000 0.0000 0.0000 Hg
0.5000 0.5000 0.5000 Hg
0.1085 0.1981 0.8050 F
0.1085 0.3019 0.3050 F
0.2008 0.6987 0.5301 F
0.2008 0.8013 0.0301 F
0.4689 0.2455 0.1648 F
0.4689 0.2545 0.6648 F
0.5311 0.7455 0.3352 F
0.5311 0.7545 0.8352 F
0.7992 0.1987 0.9699 F
0.7992 0.3013 0.4699 F
0.8915 0.6981 0.6950 F
0.8915 0.8019 0.1950 F
```

**Density**: 5.7 g/cm3
**Formation energy without anion corrections**: -1191 meV per atom

=====

AgHg2F after structural relaxation, computed with PBE-GGA.

```
AgHg2F
1.0
1.7456 1.0078 7.7914
-1.7456 1.0078 7.7914
0.0000 -2.0157 7.7914
Ag Hg F
1 2 1
direct
0.0000 0.0000 0.0000 Ag
0.4235 0.4235 0.4235 Hg
0.5772 0.5772 0.5772 Hg
0.1677 0.1677 0.1677 F
```

**Density**: 10.7 g/cm3
**Formation energy without anion corrections**: -524 meV per atom

=====

AgHg3F6 after structural relaxation, computed with PBE-GGA.

```
AgHg3F6
1.0
5.5286 3.1920 3.2058
-5.5286 3.1920 3.2058
0.0000 -6.3839 3.2058
Ag Hg F
2 6 12
direct
0.0000 0.0000 0.0000 Ag
0.5000 0.5000 0.5000 Ag
0.1174 0.6288 0.7886 Hg
0.2114 0.8826 0.3712 Hg
0.3712 0.2114 0.8826 Hg
0.6288 0.7886 0.1174 Hg
0.7886 0.1174 0.6288 Hg
0.8826 0.3712 0.2114 Hg
0.0712 0.3259 0.9065 F
0.0935 0.9288 0.6741 F
0.1736 0.5642 0.4314 F
0.3259 0.9065 0.0712 F
0.4314 0.1736 0.5642 F
0.4358 0.5686 0.8264 F
0.5642 0.4314 0.1736 F
0.5686 0.8264 0.4358 F
0.6741 0.0935 0.9288 F
0.8264 0.4358 0.5686 F
0.9065 0.0712 0.3259 F
0.9288 0.6741 0.0935 F
```

**Density**: 8.1 g/cm3
**Formation energy without anion corrections**: -1230 meV per atom

=====

Ag5Hg3F12 after structural relaxation, computed with PBE-GGA.

```
Ag5Hg3F12
1.0
9.8190 0.0000 0.0000
-4.9095 8.5035 0.0000
0.0000 0.0000 3.7903
Ag Hg F
5 3 12
direct
0.0000 0.7354 0.0000 Ag
0.2646 0.2646 0.0000 Ag
0.3333 0.6667 0.0000 Ag
0.6667 0.3333 0.0000 Ag
0.7354 0.0000 0.0000 Ag
0.0000 0.3562 0.5000 Hg
0.3562 0.0000 0.5000 Hg
0.6438 0.6438 0.5000 Hg
0.0000 0.1822 0.0000 F
0.0000 0.4965 0.0000 F
0.1822 0.0000 0.0000 F
0.1987 0.7431 0.5000 F
0.2569 0.4556 0.5000 F
0.4556 0.2569 0.5000 F
0.4965 0.0000 0.0000 F
0.5035 0.5035 0.0000 F
0.5444 0.8013 0.5000 F
0.7431 0.1987 0.5000 F
0.8013 0.5444 0.5000 F
0.8178 0.8178 0.0000 F
```

**Density**: 7.2 g/cm3
**Formation energy without anion corrections**: -1170 meV per atom

=====

Ag4HgF5 after structural relaxation, computed with PBE-GGA.

```
Ag4HgF5
1.0
7.3947 0.0000 0.0000
0.0000 8.2260 0.0000
0.0000 0.0000 5.6468
Ag Hg F
8 2 10
direct
0.0548 0.2500 0.1110 Ag
0.2500 0.5372 0.2555 Ag
0.2500 0.9628 0.2555 Ag
0.4452 0.2500 0.1110 Ag
0.5548 0.7500 0.8890 Ag
0.7500 0.0372 0.7445 Ag
0.7500 0.4628 0.7445 Ag
0.9452 0.7500 0.8890 Ag
0.2500 0.2500 0.5442 Hg
0.7500 0.7500 0.4558 Hg
0.0437 0.0678 0.7540 F
0.0437 0.4322 0.7540 F
0.2500 0.7500 0.9733 F
0.4563 0.0678 0.7540 F
0.4563 0.4322 0.7540 F
0.5437 0.5678 0.2460 F
0.5437 0.9322 0.2460 F
0.7500 0.2500 0.0267 F
0.9563 0.5678 0.2460 F
0.9563 0.9322 0.2460 F
```

**Density**: 7.0 g/cm3
**Formation energy without anion corrections**: -974 meV per atom

=====

AgHg3F after structural relaxation, computed with PBE-GGA.

```
AgHg3F
1.0
5.4173 0.0000 0.0000
0.0000 5.4173 0.0000
0.0000 0.0000 5.4173
Ag Hg F
1 3 1
direct
0.0000 0.0000 0.0000 Ag
0.0000 0.0000 0.5000 Hg
0.0000 0.5000 0.0000 Hg
0.5000 0.0000 0.0000 Hg
0.5000 0.5000 0.5000 F
```

**Density**: 7.6 g/cm3
**Formation energy without anion corrections**: -152 meV per atom

=====

Q: formation energy without anion corrections of number 6 (AgHg3F)?
A: -152 meV per atom